# 1
This record from Alexandria via LeMat-Bulk describes a relaxed structure of LiAg. The functional is PBE.

```
data_LiAg
_chemical_formula_sum 'Li2 Ag2'
_cell_length_a 2.9097
_cell_length_b 2.9097
_cell_length_c 9.1050
_cell_angle_alpha 90.00
_cell_angle_beta 90.00
_cell_angle_gamma 120.00
_symmetry_space_group_name_H-M 'P 63/m m c'
_symmetry_Int_Tables_number 194
_symmetry_space_group_name_Hall '-P 6c 2c'
loop_
_atom_site_label
_atom_site_type_symbol
_atom_site_fract_x
_atom_site_fract_y
_atom_site_fract_z
_atom_site_occupancy
Li1 Li 0.0000 0.0000 0.0000 1
Ag1 Ag 0.3333 0.6667 0.2500 1
```

Results
V = 16.7 Å³/atom
Total magnetization = 0.0 Bohr magnetons per cell

# 2
This record from Alexandria via LeMat-Bulk describes a relaxed structure of Li2LaZrFe. The functional is PBE.

```
data_Li2LaZrFe
_chemical_formula_sum 'Li2 La1 Zr1 Fe1'
_cell_length_a 5.152
_cell_length_b 5.152
_cell_length_c 4.568
_cell_angle_alpha 90.00
_cell_angle_beta 90.00
_cell_angle_gamma 90.00
_symmetry_space_group_name_H-M 'P 4/m m m'
_symmetry_Int_Tables_number 123
_symmetry_space_group_name_Hall '-P 4 2'
loop_
_atom_site_label
_atom_site_type_symbol
_atom_site_fract_x
_atom_site_fract_y
_atom_site_fract_z
_atom_site_occupancy
Li1 Li 0.000 0.500 0.000 1
La1 La 0.000 0.000 0.500 1
Zr1 Zr 0.500 0.500 0.000 1
Fe1 Fe 0.500 0.500 0.500 1
```

Results
V = 24.2 Å³/atom
Total magnetization = 1.3 Bohr magnetons per cell

# 3
This record from Alexandria via LeMat-Bulk describes a relaxed structure of Ta2CrRh. The functional is PBE.

```
data_Ta2CrRh
_chemical_formula_sum 'Ta2 Cr1 Rh1'
_cell_length_a 3.285
_cell_length_b 4.254
_cell_length_c 4.524
_cell_angle_alpha 90.00
_cell_angle_beta 90.00
_cell_angle_gamma 90.00
_symmetry_space_group_name_H-M 'P m m m'
_symmetry_Int_Tables_number 47
loop_
_symmetry_equiv_pos_as_xyz
'x,y,z'
'-x,-y,-z'
'-x,-y,z'
'x,y,-z'
'x,-y,-z'
'-x,y,z'
'-x,y,-z'
'x,-y,z'
loop_
_atom_site_label
_atom_site_type_symbol
_atom_site_fract_x
_atom_site_fract_y
_atom_site_fract_z
_atom_site_occupancy
Ta1 Ta 0.000 0.000 0.000 1
Ta2 Ta 0.500 0.000 0.500 1
Cr1 Cr 0.000 0.500 0.500 1
Rh1 Rh 0.500 0.500 0.000 1
```

Results
V = 15.8 Å³/atom
Total magnetization = 1.6 Bohr magnetons per cell

# 4
This record from Alexandria via LeMat-Bulk describes a relaxed structure of Li2ZnGa. The functional is PBE.

```
data_Li2ZnGa
_chemical_formula_sum 'Li2 Zn1 Ga1'
_cell_length_a 4.447
_cell_length_b 4.447
_cell_length_c 3.054
_cell_angle_alpha 90.00
_cell_angle_beta 90.00
_cell_angle_gamma 90.00
_symmetry_space_group_name_H-M 'P 4/m m m'
_symmetry_Int_Tables_number 123
_symmetry_space_group_name_Hall '-P 4 2'
loop_
_atom_site_label
_atom_site_type_symbol
_atom_site_fract_x
_atom_site_fract_y
_atom_site_fract_z
_atom_site_occupancy
Li1 Li 0.000 0.500 0.000 1
Zn1 Zn 0.000 0.000 0.500 1
Ga1 Ga 0.500 0.500 0.500 1
```

Results
V = 15.1 Å³/atom
Total magnetization = 0.0 Bohr magnetons per cell

# 5
This record from Alexandria via LeMat-Bulk describes a relaxed structure of V2GeRu5. The functional is PBE.

```
data_V2GeRu5
_chemical_formula_sum 'V4 Ge2 Ru10'
_cell_length_a 5.308
_cell_length_b 10.223
_cell_length_c 4.069
_cell_angle_alpha 90.00
_cell_angle_beta 90.00
_cell_angle_gamma 90.00
_symmetry_space_group_name_H-M 'P b a m'
_symmetry_Int_Tables_number 55
loop_
_symmetry_equiv_pos_as_xyz
'x,y,z'
'-x,-y,-z'
'-x,-y,z'
'x,y,-z'
'x+1/2,-y+1/2,-z'
'-x+1/2,y+1/2,z'
'-x+1/2,y+1/2,-z'
'x+1/2,-y+1/2,z'
loop_
_atom_site_label
_atom_site_type_symbol
_atom_site_fract_x
_atom_site_fract_y
_atom_site_fract_z
_atom_site_occupancy
V1 V 0.149 0.142 0.000 1
Ge1 Ge 0.000 0.500 0.500 1
Ru1 Ru 0.000 0.000 0.500 1
Ru2 Ru 0.111 0.740 0.500 1
Ru3 Ru 0.181 0.389 0.000 1
```

Results
V = 13.8 Å³/atom
Total magnetization = 0.0 Bohr magnetons per cell

# 6
This record from Alexandria via LeMat-Bulk describes a relaxed structure of TbFeGe4. The functional is PBE.

```
data_TbFeGe4
_chemical_formula_sum 'Tb2 Fe2 Ge8'
_cell_length_a 5.054
_cell_length_b 5.054
_cell_length_c 9.827
_cell_angle_alpha 90.00
_cell_angle_beta 90.00
_cell_angle_gamma 90.00
_symmetry_space_group_name_H-M 'P 42/n m c'
_symmetry_Int_Tables_number 137
loop_
_symmetry_equiv_pos_as_xyz
'x,y,z'
'-x,-y,-z'
'-y+1/2,x,z+1/2'
'y+1/2,-x,-z+1/2'
'-x+1/2,-y+1/2,z'
'x+1/2,y+1/2,-z'
'y,-x+1/2,z+1/2'
'-y,x+1/2,-z+1/2'
'x+1/2,-y,-z'
'-x+1/2,y,z'
'-y,-x,-z+1/2'
'y,x,z+1/2'
'-x,y+1/2,-z'
'x,-y+1/2,z'
'y+1/2,x+1/2,-z+1/2'
'-y+1/2,-x+1/2,z+1/2'
loop_
_atom_site_label
_atom_site_type_symbol
_atom_site_fract_x
_atom_site_fract_y
_atom_site_fract_z
_atom_site_occupancy
Tb1 Tb 0.250 0.750 0.250 1
Fe1 Fe 0.250 0.750 0.750 1
Ge1 Ge 0.005 0.250 0.054 1
```

Results
V = 20.9 Å³/atom
Total magnetization = 2.6 Bohr magnetons per cell

| no. | final energy (eV/atom) |
| --- | --- |
| 1 | -2.52 |
| 2 | -4.45 |
| 3 | -10.25 |
| 4 | -2.26 |
| 5 | -8.92 |
| 6 | -5.21 |